1.
# SmGd2Si2, optimized geometry, DFT PBE
data_SmGd2Si2
_chemical_formula_sum 'Sm2 Gd4 Si4'
_cell_length_a 7.638
_cell_length_b 7.638
_cell_length_c 4.218
_cell_angle_alpha 90.00
_cell_angle_beta 90.00
_cell_angle_gamma 90.00
_symmetry_space_group_name_H-M 'P 4/m b m'
_symmetry_Int_Tables_number 127
_symmetry_space_group_name_Hall '-P 4 2ab'
loop_
_atom_site_label
_atom_site_type_symbol
_atom_site_fract_x
_atom_site_fract_y
_atom_site_fract_z
Sm1 Sm 0.000 0.000 0.000
Gd1 Gd 0.177 0.323 0.500
Si1 Si 0.114 0.614 0.000
# **Energy**: -5.6391 eV per atom
# **Size of the total moment**: 0.0 μB/f.u.

---

2.
# SmGdSi, optimized geometry, DFT PBE
data_SmGdSi
_chemical_formula_sum 'Sm4 Gd4 Si4'
_cell_length_a 6.967
_cell_length_b 6.967
_cell_length_c 6.967
_cell_angle_alpha 90.00
_cell_angle_beta 90.00
_cell_angle_gamma 90.00
_symmetry_space_group_name_H-M 'F -4 3 m'
_symmetry_Int_Tables_number 216
_symmetry_space_group_name_Hall 'F -4 2 3'
loop_
_atom_site_label
_atom_site_type_symbol
_atom_site_fract_x
_atom_site_fract_y
_atom_site_fract_z
Sm1 Sm 0.000 0.000 0.000
Gd1 Gd 0.000 0.000 0.500
Si1 Si 0.250 0.250 0.750
# **Offset from the most stable computed form**: 0.00 kcal/mol of atoms
# **Size of the total moment**: 0.0 μB/f.u.